Record 1
This record from Alexandria via LeMat-Bulk describes a PBEsol-optimized structure of Ti2Co2Cu. The functional is meta-GGA SCAN.

a b c (Å): 6.6632 6.6632 2.8647
angles (deg): 90.00 90.00 90.00
Element x y z (fractional)
Ti (0.1644, 0.3356, 0.0000)
Ti (0.3356, 0.8356, 0.0000)
Ti (0.6644, 0.1644, 0.0000)
Ti (0.8356, 0.6644, 0.0000)
Co (0.1365, 0.6365, 0.5000)
Co (0.3635, 0.1365, 0.5000)
Co (0.6365, 0.8635, 0.5000)
Co (0.8635, 0.3635, 0.5000)
Cu (0.0000, 0.0000, 0.5000)
Cu (0.5000, 0.5000, 0.5000)

Results
SG	P4/mbm, No. 127
E	-16.566	eV/atom

Record 2
This record from Alexandria via LeMat-Bulk describes a PBEsol-optimized structure of CoCuW. The functional is meta-GGA SCAN.

a b c (Å): 3.8994 3.8994 3.8994
angles (deg): 60.00 60.00 60.00
Element x y z (fractional)
Co (0.0000, 0.0000, 0.0000)
Cu (0.2500, 0.2500, 0.2500)
W (0.7500, 0.7500, 0.7500)

Results
SG	F-43m, No. 216
E	-33.405	eV/atom

Record 3
This record from Alexandria via LeMat-Bulk describes a PBEsol-optimized structure of Co2CuW2. The functional is meta-GGA SCAN.

a b c (Å): 5.5050 5.5050 5.5050
angles (deg): 138.49 138.49 60.15
Element x y z (fractional)
Co (0.1076, 0.1076, 0.0000)
Co (0.8924, 0.8924, 0.0000)
Cu (0.5000, 0.5000, 0.0000)
W (0.2500, 0.7500, 0.5000)
W (0.7500, 0.2500, 0.5000)

Results
SG	I4/mmm, No. 139
E	-37.148	eV/atom

Record 4
This record from Alexandria via LeMat-Bulk describes a PBEsol-optimized structure of CoCuW3. The functional is meta-GGA SCAN.

a b c (Å): 4.4079 4.4079 4.4079
angles (deg): 90.00 90.00 90.00
Element x y z (fractional)
Co (0.0000, 0.0000, 0.0000)
Cu (0.5000, 0.5000, 0.5000)
W (0.0000, 0.5000, 0.5000)
W (0.5000, 0.0000, 0.5000)
W (0.5000, 0.5000, 0.0000)

Results
SG	Pm-3m, No. 221
E	-46.218	eV/atom

Record 5
This record from Alexandria via LeMat-Bulk describes a PBEsol-optimized structure of Co2CuW. The functional is meta-GGA SCAN.

a b c (Å): 2.5870 2.5870 7.1428
angles (deg): 90.00 90.00 90.00
Element x y z (fractional)
Co (0.0000, 0.0000, 0.0000)
Co (0.5000, 0.5000, 0.2122)
Cu (0.5000, 0.5000, 0.7588)
W (0.0000, 0.0000, 0.4815)

Results
SG	P4mm, No. 99
E above lowest polymorph	0	meV per atom

Record 6
This record from Alexandria via LeMat-Bulk describes a PBEsol-optimized structure of Co2CuW. The functional is meta-GGA SCAN.

a b c (Å): 4.0662 4.0662 4.0662
angles (deg): 60.00 60.00 60.00
Element x y z (fractional)
Co (0.0000, 0.0000, 0.0000)
Co (0.2500, 0.2500, 0.2500)
Cu (0.5000, 0.5000, 0.5000)
W (0.7500, 0.7500, 0.7500)

Results
SG	F-43m, No. 216
E above lowest polymorph	112	meV per atom

Record 7
This record from Alexandria via LeMat-Bulk describes a PBEsol-optimized structure of Y2Co2Cu. The functional is meta-GGA SCAN.

a b c (Å): 6.6265 6.6265 3.8870
angles (deg): 90.00 90.00 90.00
Element x y z (fractional)
Y (0.1816, 0.3184, 0.0000)
Y (0.3184, 0.8184, 0.0000)
Y (0.6816, 0.1816, 0.0000)
Y (0.8184, 0.6816, 0.0000)
Co (0.1201, 0.6201, 0.5000)
Co (0.3799, 0.1201, 0.5000)
Co (0.6201, 0.8799, 0.5000)
Co (0.8799, 0.3799, 0.5000)
Cu (0.0000, 0.0000, 0.5000)
Cu (0.5000, 0.5000, 0.5000)

Results
SG	P4/mbm, No. 127
E	-21.105	eV/atom

Record 8
This record from Alexandria via LeMat-Bulk describes a PBEsol-optimized structure of Zn2CoCu. The functional is meta-GGA SCAN.

a b c (Å): 4.2178 4.2178 4.2178
angles (deg): 126.42 126.42 79.20
Element x y z (fractional)
Zn (0.2500, 0.7500, 0.5000)
Zn (0.7500, 0.2500, 0.5000)
Co (0.0000, 0.0000, 0.0000)
Cu (0.5000, 0.5000, 0.0000)

Results
SG	I4/mmm, No. 139
E	-14.837	eV/atom

Record 9
This record from Alexandria via LeMat-Bulk describes a PBEsol-optimized structure of ZnCo2Cu. The functional is meta-GGA SCAN.

a b c (Å): 2.4857 2.4857 7.2738
angles (deg): 90.00 90.00 90.00
Element x y z (fractional)
Zn (0.0000, 0.0000, 0.0000)
Co (0.5000, 0.5000, 0.2556)
Co (0.5000, 0.5000, 0.7444)
Cu (0.0000, 0.0000, 0.5000)

Results
SG	P4/mmm, No. 123
E	-15.728	eV/atom

Record 10
This record from Alexandria via LeMat-Bulk describes a PBEsol-optimized structure of ZnCoCu2. The functional is meta-GGA SCAN.

a b c (Å): 4.4006 4.4006 4.3833
angles (deg): 99.53 99.53 33.21
Element x y z (fractional)
Zn (0.0000, 0.0000, 0.0000)
Co (0.5000, 0.5000, 0.5000)
Cu (0.2477, 0.2477, 0.7436)
Cu (0.7523, 0.7523, 0.2564)

Results
SG	C2/m, No. 12
E	-15.252	eV/atom

Record 11
This record from Alexandria via LeMat-Bulk describes a PBEsol-optimized structure of ZnCoCu2. The functional is meta-GGA SCAN.

a b c (Å): 2.5222 3.5490 5.1091
angles (deg): 90.00 90.00 90.00
Element x y z (fractional)
Zn (0.0000, 0.0000, 0.0000)
Co (0.5000, 0.5000, 0.2467)
Cu (0.0000, 0.0000, 0.4918)
Cu (0.5000, 0.5000, 0.7396)

Results
SG	Pmm2, No. 25
E	-15.281	eV/atom

Record 12
This record from Alexandria via LeMat-Bulk describes a PBEsol-optimized structure of ZnCo2Cu. The functional is meta-GGA SCAN.

a b c (Å): 2.5619 2.5619 6.8345
angles (deg): 90.00 90.00 90.00
Element x y z (fractional)
Zn (0.0000, 0.0000, 0.0000)
Co (0.0000, 0.0000, 0.4783)
Co (0.5000, 0.5000, 0.2587)
Cu (0.5000, 0.5000, 0.7323)

Results
SG	P4mm, No. 99
E	-15.798	eV/atom

Record 13
This record from Alexandria via LeMat-Bulk describes a PBEsol-optimized structure of Zn2CoCu. The functional is meta-GGA SCAN.

a b c (Å): 8.3724 8.3724 8.3724
angles (deg): 17.82 17.82 17.82
Element x y z (fractional)
Zn (0.2485, 0.2485, 0.2485)
Zn (0.7515, 0.7515, 0.7515)
Co (0.5000, 0.5000, 0.5000)
Cu (0.0000, 0.0000, 0.0000)

Results
SG	R-3m, No. 166
E	-14.899	eV/atom

Record 14
This record from Alexandria via LeMat-Bulk describes a PBEsol-optimized structure of ZnCoCu2. The functional is meta-GGA SCAN.

a b c (Å): 4.3648 4.3648 4.4357
angles (deg): 99.23 99.23 33.34
Element x y z (fractional)
Zn (0.0000, 0.0000, 0.0000)
Co (0.2503, 0.2503, 0.7566)
Cu (0.5022, 0.5022, 0.5063)
Cu (0.7519, 0.7519, 0.2621)

Results
SG	Cm, No. 8
E	-15.240	eV/atom

Record 15
This record from Alexandria via LeMat-Bulk describes a PBEsol-optimized structure of Zn2CoCu. The functional is meta-GGA SCAN.

a b c (Å): 3.7306 3.7306 3.3691
angles (deg): 90.00 90.00 90.00
Element x y z (fractional)
Zn (0.0000, 0.5000, 0.0000)
Zn (0.5000, 0.0000, 0.0000)
Co (0.0000, 0.0000, 0.5000)
Cu (0.5000, 0.5000, 0.5000)

Results
SG	P4/mmm, No. 123
E	-14.951	eV/atom